PuCdNi2O6: optimized geometry, PBE+U.

abc: 4.209 6.068 6.068
angles: 90.00 90.00 90.00
Last column: magnetic moment on the atom in μB.
Fractional coordinates of all 10 atoms:
1 Pu 0.748 0.000 0.000  2.31
2 Cd 0.627 0.500 0.500  -0.01
3 Ni 0.818 0.500 0.000  1.63
4 Ni 0.818 0.000 0.500  1.63
5 O 0.761 0.236 0.236  -0.03
6 O 0.761 0.236 0.764  -0.03
7 O 0.140 0.500 0.500  0.24
8 O 0.250 0.000 0.000  -0.13
9 O 0.761 0.764 0.764  -0.03
10 O 0.761 0.764 0.236  -0.03

Output
raw total energy: -6.117 eV/atom
space group: P4mm (99)
DOS(E_F): 7.31 states/eV per cell